1.
{"formula": "LiCu12Ge6", "functional": "PBE", "state": "optimized geometry", "n_ef_per_ev_cell": 6.512, "total_energy_ev_per_cell": -76.04, "ef_ev_per_atom": 0.144, "crystal_system": "trigonal", "lattice": [[6.8883, -0.0414, -0.0583], [-1.7476, 6.6630, -0.0583], [-1.7476, -2.2511, 6.2715]], "species": ["Ge", "Cu", "Ge", "Cu", "Cu", "Li", "Ge", "Cu", "Cu", "Ge", "Cu", "Cu", "Cu", "Cu", "Cu", "Ge", "Cu", "Cu", "Ge"], "frac_coords": [[0.7123, 0.3017, 0.7123], [0.6412, 0.8789, 0.6412], [0.7123, 0.7123, 0.3017], [0.6412, 0.6412, 0.8789], [0.5000, 0.1125, 0.8875], [0.0000, 0.0000, 0.0000], [0.2877, 0.2877, 0.6983], [0.1125, 0.5000, 0.8875], [0.8875, 0.5000, 0.1125], [0.3017, 0.7123, 0.7123], [0.5000, 0.8875, 0.1125], [0.1125, 0.8875, 0.5000], [0.3588, 0.1211, 0.3588], [0.8789, 0.6412, 0.6412], [0.8875, 0.1125, 0.5000], [0.6983, 0.2877, 0.2877], [0.3588, 0.3588, 0.1211], [0.1211, 0.3588, 0.3588], [0.2877, 0.6983, 0.2877]]}



2.
{"formula": "LiCu4Ge2", "functional": "PBE", "state": "optimized geometry", "n_ef_per_ev_cell": 6.005, "total_energy_ev_per_cell": -112.26, "relative_energy_ev_per_fu": 0.00, "ef_ev_per_atom": -0.076, "crystal_system": "orthorhombic", "lattice": [[-0.9995, -1.1925, 3.9276], [3.8550, -6.1480, -0.8856], [10.1241, 5.7265, 4.3152]], "species": ["Cu", "Li", "Ge", "Cu", "Li", "Ge", "Ge", "Ge", "Ge", "Cu", "Cu", "Cu", "Cu", "Li", "Cu", "Ge", "Li", "Ge", "Cu", "Cu", "Cu", "Cu", "Cu", "Cu", "Ge", "Cu", "Cu", "Cu"], "frac_coords": [[0.0000, 0.0085, 0.3032], [0.0000, 0.5000, 0.0000], [0.4999, 0.3231, 0.8806], [0.5000, 0.4915, 0.6968], [0.0000, 0.0000, 0.5000], [0.5001, 0.6769, 0.1194], [0.4999, 0.1769, 0.3806], [0.0001, 0.8231, 0.8806], [0.0001, 0.6769, 0.3806], [0.0000, 0.9915, 0.6968], [0.5000, 0.9915, 0.8032], [0.0001, 0.6552, 0.6057], [0.9999, 0.1552, 0.8943], [0.5000, 0.0000, 0.0000], [0.0000, 0.4915, 0.8032], [0.9999, 0.3231, 0.6194], [0.5000, 0.5000, 0.5000], [0.5001, 0.8231, 0.6194], [0.5000, 0.0085, 0.1968], [0.5001, 0.6552, 0.8943], [0.4999, 0.3448, 0.1057], [0.0000, 0.5085, 0.1968], [0.5001, 0.8448, 0.3943], [0.0001, 0.8448, 0.1057], [0.9999, 0.1769, 0.1194], [0.9999, 0.3448, 0.3943], [0.4999, 0.1552, 0.6057], [0.5000, 0.5085, 0.3032]]}



3.
{"formula": "LiCu6Ge6", "functional": "PBE", "state": "optimized geometry", "n_ef_per_ev_cell": 4.714, "total_energy_ev_per_cell": -54.06, "ef_ev_per_atom": 0.010, "crystal_system": "orthorhombic", "lattice": [[4.7771, 0.0000, 2.0861], [2.1574, 6.1147, 1.5723], [-0.0683, -0.1827, 6.6692]], "species": ["Li", "Ge", "Ge", "Ge", "Cu", "Ge", "Cu", "Ge", "Cu", "Cu", "Cu", "Cu", "Ge"], "frac_coords": [[0.0000, 0.0000, 0.0000], [0.0000, 0.6552, 0.3448], [0.3406, 0.1594, 0.1594], [0.6594, 0.8406, 0.8406], [0.5000, 0.2592, 0.7408], [0.6758, 0.3242, 0.3242], [0.5000, 0.7408, 0.2592], [0.3242, 0.6758, 0.6758], [0.0000, 0.0000, 0.5000], [0.0000, 0.5000, 0.0000], [0.5000, 0.5000, 0.0000], [0.5000, 0.0000, 0.5000], [0.0000, 0.3448, 0.6552]]}



4.
{"formula": "LiMgCuGe", "functional": "PBE", "state": "optimized geometry", "n_ef_per_ev_cell": 1.719, "total_energy_ev_per_cell": -12.84, "ef_ev_per_atom": -0.154, "crystal_system": "monoclinic", "lattice": [[-2.0413, -0.1210, 3.5115], [-2.8557, -4.3615, -1.8103], [3.3952, 0.6056, 1.9945]], "species": ["Mg", "Li", "Ge", "Cu"], "frac_coords": [[0.0000, 0.8033, 0.1304], [0.0000, 0.3035, 0.1306], [0.5000, 0.8035, 0.6305], [0.5000, 0.3032, 0.6302]]}



5.
{"formula": "NaLiCuGe", "functional": "PBE", "state": "optimized geometry", "n_ef_per_ev_cell": 2.529, "total_energy_ev_per_cell": -12.24, "ef_ev_per_atom": -0.074, "crystal_system": "cubic", "lattice": [[4.4841, 0.0000, 0.0000], [2.2420, 3.8833, 0.0000], [2.2420, 1.2944, 3.6612]], "species": ["Ge", "Cu", "Li", "Na"], "frac_coords": [[0.2500, 0.2500, 0.2500], [0.5000, 0.5000, 0.5000], [0.0000, 0.0000, 0.0000], [0.7500, 0.7500, 0.7500]]}



6.
{"formula": "LiNdCuGe", "functional": "PBE", "state": "optimized geometry", "n_ef_per_ev_cell": 1.821, "total_energy_ev_per_cell": -16.79, "ef_ev_per_atom": -0.348, "crystal_system": "cubic", "lattice": [[-4.5163, 1.1871, -1.2476], [-2.7821, -3.1930, -2.3298], [-3.7493, -2.0440, 2.2645]], "species": ["Li", "Cu", "Nd", "Ge"], "frac_coords": [[0.5000, 0.5000, 0.5000], [0.7500, 0.7500, 0.7500], [0.0000, 0.0000, 0.0000], [0.2500, 0.2500, 0.2500]]}



7.
{"formula": "Li2CuGeO4", "functional": "PBE", "state": "optimized geometry", "n_ef_per_ev_cell": 6.450, "total_energy_ev_per_cell": -89.70, "formation_energy_uncorrected_kj_per_mol_fu": -1203.8, "crystal_system": "orthorhombic", "lattice": [[5.0363, 0.0000, 0.0000], [0.0000, 5.4293, 0.0000], [0.0000, 0.0000, 6.4790]], "species": ["Li", "O", "Li", "Cu", "Li", "Ge", "Cu", "Ge", "O", "O", "O", "Li", "O", "O", "O", "O"], "frac_coords": [[0.4945, 0.3316, 0.7487], [0.3915, 0.6858, 0.7747], [0.4945, 0.3316, 0.2513], [0.4800, 0.8061, 0.5000], [0.9945, 0.6684, 0.2487], [0.0020, 0.1548, 0.5000], [0.9800, 0.1939, 0.0000], [0.5020, 0.8452, 0.0000], [0.8907, 0.8438, 0.5000], [0.3915, 0.6858, 0.2253], [0.8915, 0.3142, 0.2747], [0.9945, 0.6684, 0.7513], [0.8552, 0.8379, 0.0000], [0.8915, 0.3142, 0.7253], [0.3552, 0.1621, 0.5000], [0.3907, 0.1562, 0.0000]]}



8.
{"formula": "LiCuGeOs", "functional": "PBE", "state": "optimized geometry", "n_ef_per_ev_cell": 1.842, "total_energy_ev_per_cell": -21.96, "ef_ev_per_atom": -0.024, "crystal_system": "cubic", "lattice": [[-1.2141, -0.7908, 3.9612], [0.0575, -3.9513, 1.4744], [2.8525, -1.1296, 2.8944]], "species": ["Cu", "Li", "Os", "Ge"], "frac_coords": [[0.7500, 0.7500, 0.7500], [0.5000, 0.5000, 0.5000], [0.0000, 0.0000, 0.0000], [0.2500, 0.2500, 0.2500]]}